[1]
{"formula": "PmZn2ReN4", "functional": "PBE-GGA", "state": "relaxed", "space_group": "No. 23", "raw_formation_energy_mev_per_atom": -292, "n_ef_per_ev_cell": 0.74, "lattice": [[-2.6106, 3.9957, 2.5002], [-4.9568, 1.1916, -1.2734], [-2.6009, -0.8705, 4.4821]], "species": ["Zn", "Re", "Pm", "N", "N", "Zn", "N", "N"], "fractional_positions": [[0.5000, 0.8006, 0.1994], [0.0000, 0.5000, 0.5000], [0.0000, 0.0000, 0.0000], [0.0341, 0.8337, 0.4961], [0.3641, 0.1662, 0.5038], [0.5000, 0.1994, 0.8006], [0.6359, 0.4962, 0.8338], [0.9659, 0.5038, 0.1662]]}

***

[2]
{"formula": "SrCeBi6", "functional": "PBE-GGA", "state": "relaxed", "space_group": "No. 123", "n_ef_per_ev_cell": 8.53, "lattice": [[4.9636, 0.0000, 0.0000], [0.0000, 4.9636, 0.0000], [0.0000, 0.0000, 10.2855]], "species": ["Bi", "Sr", "Bi", "Bi", "Ce", "Bi", "Bi", "Bi"], "fractional_positions": [[0.5000, 0.0000, 0.2558], [0.0000, 0.0000, 0.0000], [0.5000, 0.0000, 0.7442], [0.0000, 0.5000, 0.2558], [0.0000, 0.0000, 0.5000], [0.5000, 0.5000, 0.0000], [0.5000, 0.5000, 0.5000], [0.0000, 0.5000, 0.7442]]}

***

[3]
{"formula": "Fe3SbAs", "functional": "PBE-GGA", "state": "relaxed", "space_group": "No. 221", "raw_formation_energy_mev_per_atom": 1338, "n_ef_per_ev_cell": 11.15, "lattice": [[4.7308, 0.0000, 0.0000], [0.0000, 4.7308, 0.0000], [0.0000, 0.0000, 4.7308]], "species": ["Fe", "Sb", "Fe", "As", "Fe"], "fractional_positions": [[0.0000, 0.0000, 0.5000], [0.0000, 0.0000, 0.0000], [0.0000, 0.5000, 0.0000], [0.5000, 0.5000, 0.5000], [0.5000, 0.0000, 0.0000]]}

***

[4]
{"formula": "TaNb", "functional": "PBE-GGA", "state": "relaxed", "space_group": "No. 71", "n_ef_per_ev_cell": 4.83, "lattice": [[2.9177, 0.0000, 0.0000], [0.0000, 4.9133, 0.0000], [0.0000, 0.0000, 5.4798]], "species": ["Ta", "Nb", "Ta", "Nb"], "fractional_positions": [[0.5000, 0.0000, 0.5000], [0.5000, 0.0000, 0.0000], [0.0000, 0.5000, 0.0000], [0.0000, 0.5000, 0.5000]]}

***

[5]
{"formula": "Mn2Sb", "functional": "PBE-GGA", "state": "relaxed", "space_group": "No. 129", "raw_formation_energy_mev_per_atom": 105, "n_ef_per_ev_cell": 5.80, "lattice": [[3.9368, 0.0000, 0.0000], [0.0000, 3.9368, 0.0000], [0.0000, 0.0000, 6.4723]], "species": ["Mn", "Mn", "Sb", "Sb", "Mn", "Mn"], "fractional_positions": [[0.0000, 0.5000, 0.7070], [0.5000, 0.0000, 0.2930], [0.5000, 0.0000, 0.7144], [0.0000, 0.5000, 0.2856], [0.5000, 0.5000, 0.0000], [0.0000, 0.0000, 0.0000]]}

***

[6]
{"formula": "Ca4DyY3Se8", "functional": "PBE-GGA", "state": "relaxed", "space_group": "No. 166", "raw_formation_energy_mev_per_atom": -1882, "n_ef_per_ev_cell": 5.48, "lattice": [[-7.0002, -3.0740, 3.0082], [3.5907, -0.8752, 7.4614], [0.0163, 7.3519, -3.6690]], "species": ["Se", "Ca", "Ca", "Dy", "Ca", "Se", "Se", "Se", "Ca", "Y", "Se", "Y", "Se", "Se", "Se", "Y"], "fractional_positions": [[0.7493, 0.7459, 0.9976], [0.0000, 0.0000, 0.5000], [0.5000, 0.0000, 0.0000], [0.0000, 0.5000, 0.0000], [0.5000, 0.0000, 0.5000], [0.2485, 0.7460, 0.4969], [0.2507, 0.2541, 0.0024], [0.7517, 0.2541, 0.0024], [0.0000, 0.0000, 0.0000], [0.5000, 0.5000, 0.5000], [0.7515, 0.2540, 0.5031], [0.5000, 0.5000, 0.0000], [0.7488, 0.7464, 0.4975], [0.2512, 0.2536, 0.5025], [0.2483, 0.7459, 0.9976], [0.0000, 0.5000, 0.5000]]}

***

[7]
{"formula": "TaNi6Ir", "functional": "PBE-GGA", "state": "relaxed", "space_group": "No. 166", "n_ef_per_ev_cell": 8.55, "lattice": [[-3.8731, -1.6777, -2.0904], [0.3341, -3.5529, -3.0742], [-1.9296, -5.9093, 3.0117]], "species": ["Ni", "Ni", "Ni", "Ta", "Ni", "Ni", "Ni", "Ir"], "fractional_positions": [[0.5558, 0.0665, 0.3112], [0.4442, 0.9335, 0.6888], [0.0665, 0.5558, 0.3112], [0.0000, 0.0000, 0.0000], [0.9335, 0.9335, 0.6888], [0.0665, 0.0665, 0.3112], [0.9335, 0.4442, 0.6888], [0.5000, 0.5000, 0.5000]]}

***

[8]
{"formula": "KCe3Sm2Te6", "functional": "PBE-GGA", "state": "relaxed", "space_group": "No. 12", "raw_formation_energy_mev_per_atom": -1344, "n_ef_per_ev_cell": 23.60, "lattice": [[-4.0283, 1.4344, 1.3634], [-4.0106, -5.1384, -6.4439], [2.4987, -6.7793, 7.1273]], "species": ["Sm", "Sm", "Te", "Te", "Ce", "Ce", "K", "Te", "Ce", "Te", "Te", "Te"], "fractional_positions": [[0.8297, 0.6577, 0.6594], [0.1703, 0.3423, 0.3406], [0.3339, 0.4171, 0.6678], [0.6714, 0.0910, 0.3429], [0.8367, 0.1699, 0.6734], [0.1633, 0.8301, 0.3266], [0.5000, 0.0000, 0.0000], [0.3286, 0.9090, 0.6571], [0.5000, 0.5000, 0.0000], [0.9957, 0.7375, 0.9915], [0.6661, 0.5829, 0.3322], [0.0043, 0.2625, 0.0085]]}

***

[9]
{"formula": "LiDyThS4", "functional": "PBE-GGA", "state": "relaxed", "space_group": "No. 74", "raw_formation_energy_mev_per_atom": -1866, "n_ef_per_ev_cell": 0.00, "lattice": [[7.8847, 0.0000, 0.0000], [3.9423, 7.0508, 0.0048], [3.9423, 2.1526, 6.7141]], "species": ["Li", "S", "S", "Li", "S", "Dy", "Th", "S", "S", "S", "Th", "S", "S", "Dy"], "fractional_positions": [[0.3668, 0.3832, 0.8832], [0.7545, 0.7574, 0.2574], [0.2455, 0.2426, 0.7426], [0.6332, 0.6168, 0.1168], [0.7566, 0.2241, 0.2628], [0.5000, 0.0000, 0.5000], [0.0000, 0.5000, 0.5000], [0.7694, 0.2426, 0.7426], [0.2434, 0.7759, 0.7372], [0.2434, 0.2372, 0.2759], [0.0000, 0.0000, 0.0000], [0.7566, 0.7628, 0.7241], [0.2306, 0.7574, 0.2574], [0.0000, 0.0000, 0.5000]]}

***

[10]
{"formula": "Ca2TbDy", "functional": "PBE-GGA", "state": "relaxed", "space_group": "No. 123", "n_ef_per_ev_cell": 7.55, "lattice": [[-4.7870, 2.6890, 0.8051], [-1.7816, -1.8717, -4.3415], [-1.8322, -4.0036, 2.4779]], "species": ["Tb", "Ca", "Ca", "Dy"], "fractional_positions": [[0.5000, 0.5000, 0.5000], [0.0000, 0.5000, 0.0000], [0.0000, 0.0000, 0.5000], [0.5000, 0.0000, 0.0000]]}

***

[11]
{"formula": "Tb2PuSnC", "functional": "PBE-GGA", "state": "relaxed", "space_group": "No. 123", "n_ef_per_ev_cell": 8.45, "lattice": [[-0.7833, 4.6185, 0.9241], [-0.9566, -1.1114, 4.7438], [4.8037, 0.5931, 1.1076]], "species": ["Tb", "Tb", "Sn", "C", "Pu"], "fractional_positions": [[0.0000, 0.0000, 0.5000], [0.0000, 0.5000, 0.0000], [0.5000, 0.5000, 0.5000], [0.0000, 0.0000, 0.0000], [0.5000, 0.0000, 0.0000]]}

***

[12]
{"formula": "BaTl2PtF8", "functional": "PBE-GGA", "state": "relaxed", "space_group": "No. 164", "raw_formation_energy_mev_per_atom": -2052, "lattice": [[-0.7016, -4.2495, -3.9957], [4.3147, -0.3831, 3.9689], [-4.6876, -3.6834, 4.7405]], "species": ["F", "Pt", "F", "Tl", "F", "F", "F", "F", "Ba", "Tl", "F", "F"], "fractional_positions": [[0.8524, 0.7048, 0.8302], [0.0000, 0.0000, 0.0000], [0.2952, 0.1476, 0.8302], [0.3333, 0.6667, 0.8253], [0.1476, 0.2952, 0.1698], [0.7048, 0.8524, 0.1698], [0.8524, 0.1476, 0.8302], [0.6667, 0.3333, 0.4819], [0.0000, 0.0000, 0.5000], [0.6667, 0.3333, 0.1747], [0.1476, 0.8524, 0.1698], [0.3333, 0.6667, 0.5181]]}

***

[13]
{"formula": "RbHgBN2", "functional": "PBE-GGA", "state": "relaxed", "space_group": "No. 123", "raw_formation_energy_mev_per_atom": 1952, "n_ef_per_ev_cell": 1.82, "lattice": [[3.8785, 0.0000, 0.0000], [0.0000, 5.7740, 0.0000], [0.0000, 0.0000, 3.8785]], "species": ["Hg", "N", "B", "Rb", "N"], "fractional_positions": [[0.5000, 0.5000, 0.5000], [0.5000, 0.0000, 0.0000], [0.0000, 0.0000, 0.0000], [0.0000, 0.5000, 0.0000], [0.0000, 0.0000, 0.5000]]}

***

[14]
{"formula": "TbCe2Zn3", "functional": "PBE-GGA", "state": "relaxed", "space_group": "No. 123", "n_ef_per_ev_cell": 13.62, "lattice": [[-2.4242, 2.4851, -0.8562], [-1.5521, -0.4135, 3.1945], [6.5183, 7.7974, 4.1763]], "species": ["Tb", "Ce", "Zn", "Ce", "Zn", "Zn"], "fractional_positions": [[0.5000, 0.5000, 0.5000], [0.5000, 0.5000, 0.8321], [0.0000, 0.0000, 0.0000], [0.5000, 0.5000, 0.1679], [0.0000, 0.0000, 0.3402], [0.0000, 0.0000, 0.6598]]}

***

[15]
{"formula": "ZrNiHg4", "functional": "PBE-GGA", "state": "relaxed", "space_group": "No. 216", "n_ef_per_ev_cell": 6.05, "lattice": [[0.0000, 4.0231, 4.0231], [4.0231, 0.0000, 4.0231], [4.0231, 4.0231, 0.0000]], "species": ["Hg", "Ni", "Hg", "Hg", "Zr", "Hg"], "fractional_positions": [[0.3751, 0.3751, 0.8748], [0.7500, 0.7500, 0.7500], [0.8748, 0.3751, 0.3751], [0.3751, 0.8748, 0.3751], [0.0000, 0.0000, 0.0000], [0.3751, 0.3751, 0.3751]]}

***

[16]
{"formula": "Na2AgRhN", "functional": "PBE-GGA", "state": "relaxed", "space_group": "No. 123", "raw_formation_energy_mev_per_atom": 60, "n_ef_per_ev_cell": 2.37, "lattice": [[4.9865, 0.0000, 0.0000], [0.0000, 4.9865, 0.0000], [0.0000, 0.0000, 3.7289]], "species": ["Ag", "Rh", "Na", "N", "Na"], "fractional_positions": [[0.5000, 0.5000, 0.5000], [0.0000, 0.0000, 0.5000], [0.5000, 0.0000, 0.0000], [0.0000, 0.0000, 0.0000], [0.0000, 0.5000, 0.0000]]}

***

[17]
{"formula": "PmEr6Te8", "functional": "PBE-GGA", "state": "relaxed", "space_group": "No. 225", "raw_formation_energy_mev_per_atom": -1324, "n_ef_per_ev_cell": 6.54, "lattice": [[7.4646, 0.0000, 4.3097], [2.4882, 7.0377, 4.3097], [0.0000, 0.0000, 8.6194]], "species": ["Te", "Er", "Pm", "Te", "Te", "Te", "Er", "Er", "Te", "Te", "Er", "Er", "Te", "Te", "Er"], "fractional_positions": [[0.7386, 0.7386, 0.2614], [0.0000, 0.5000, 0.5000], [0.0000, 0.0000, 0.0000], [0.2500, 0.2500, 0.2500], [0.7386, 0.2614, 0.2614], [0.7500, 0.7500, 0.7500], [0.5000, 0.0000, 0.5000], [0.0000, 0.5000, 0.0000], [0.2614, 0.7386, 0.2614], [0.2614, 0.2614, 0.7386], [0.5000, 0.0000, 0.0000], [0.0000, 0.0000, 0.5000], [0.7386, 0.2614, 0.7386], [0.2614, 0.7386, 0.7386], [0.5000, 0.5000, 0.0000]]}

***

[18]
{"formula": "TaTi2VH", "functional": "PBE-GGA", "state": "relaxed", "space_group": "No. 123", "n_ef_per_ev_cell": 7.22, "lattice": [[-3.8696, 0.0044, -0.0525], [0.0118, -3.6879, -1.1728], [-0.0604, -1.3788, 4.3351]], "species": ["V", "H", "Ta", "Ti", "Ti"], "fractional_positions": [[0.5000, 0.5000, 0.5000], [0.0000, 0.0000, 0.0000], [0.0000, 0.0000, 0.5000], [0.5000, 0.0000, 0.0000], [0.0000, 0.5000, 0.0000]]}

***

[19]
{"formula": "MnCuPt14", "functional": "PBE-GGA", "state": "relaxed", "space_group": "No. 123", "n_ef_per_ev_cell": 23.46, "lattice": [[-2.8227, 3.9487, -2.8366], [-3.9851, -3.7581, -1.2655], [-3.8538, 1.9031, 6.4842]], "species": ["Pt", "Pt", "Pt", "Pt", "Pt", "Mn", "Pt", "Pt", "Cu", "Pt", "Pt", "Pt", "Pt", "Pt", "Pt", "Pt"], "fractional_positions": [[0.3750, 0.3750, 0.0000], [0.1247, 0.6253, 0.7430], [0.6253, 0.1247, 0.2570], [0.3750, 0.8750, 0.0000], [0.6252, 0.6252, 0.2570], [0.8750, 0.8750, 0.5000], [0.6252, 0.6252, 0.7430], [0.1248, 0.1248, 0.2570], [0.3750, 0.3750, 0.5000], [0.8750, 0.3750, 0.0000], [0.8750, 0.8750, 0.0000], [0.1247, 0.6253, 0.2570], [0.1248, 0.1248, 0.7430], [0.3750, 0.8750, 0.5000], [0.6253, 0.1247, 0.7430], [0.8750, 0.3750, 0.5000]]}

***

[20]
{"formula": "BaScAs2", "functional": "PBE-GGA", "state": "relaxed", "space_group": "No. 65", "n_ef_per_ev_cell": 1.80, "lattice": [[3.6017, -0.0087, 0.0000], [-0.5075, 3.5658, 0.0000], [0.0000, 0.0000, 7.8487]], "species": ["As", "Ba", "Sc", "As"], "fractional_positions": [[0.0000, 0.0000, 0.5484], [0.5000, 0.5000, 0.2500], [0.5000, 0.5000, 0.7500], [0.0000, 0.0000, 0.9516]]}

***

[21]
{"formula": "CrCdOs2", "functional": "PBE-GGA", "state": "relaxed", "space_group": "No. 139", "n_ef_per_ev_cell": 5.11, "lattice": [[-4.7702, 0.7846, 0.5585], [-1.3837, -0.7187, 4.6099], [3.5769, 2.6072, -2.0225]], "species": ["Os", "Cd", "Cr", "Os"], "fractional_positions": [[0.0000, 0.0000, 0.0000], [0.2500, 0.7500, 0.5000], [0.7500, 0.2500, 0.5000], [0.5000, 0.5000, 0.0000]]}

***

[22]
{"formula": "LiMnNi2", "functional": "PBE-GGA", "state": "relaxed", "space_group": "No. 35", "n_ef_per_ev_cell": 5.36, "lattice": [[2.4283, -0.1192, 0.0000], [-0.9126, 2.2535, 0.0000], [0.0000, 0.0000, 8.5236]], "species": ["Mn", "Ni", "Ni", "Li"], "fractional_positions": [[0.5000, 0.5000, 0.7619], [0.0000, 0.0000, 0.0014], [0.5000, 0.5000, 0.2452], [0.0000, 0.0000, 0.4915]]}

***

[23]
{"formula": "CdPtW2", "functional": "PBE-GGA", "state": "relaxed", "space_group": "No. 8", "n_ef_per_ev_cell": 2.18, "lattice": [[-0.2306, 4.8510, -0.9086], [-0.9875, 3.6025, -3.2339], [-4.9801, 0.6742, 1.2592]], "species": ["Pt", "Cd", "W", "W"], "fractional_positions": [[0.2589, 0.2589, 0.2576], [0.5048, 0.5048, 0.4881], [0.7463, 0.7463, 0.7650], [0.9900, 0.9900, 0.9893]]}

***

[24]
{"formula": "AcOs2O8", "functional": "PBE-GGA", "state": "relaxed", "space_group": "No. 123", "raw_formation_energy_mev_per_atom": -1063, "n_ef_per_ev_cell": 6.90, "lattice": [[-0.8180, 3.5295, 3.2209], [-4.7222, -1.0959, 0.0015], [0.9014, -3.8782, 4.4788]], "species": ["Ac", "O", "O", "O", "O", "Os", "Os", "O", "O", "O", "O"], "fractional_positions": [[0.5000, 0.5000, 0.5000], [0.2481, 0.7519, 0.8113], [0.2481, 0.7519, 0.1887], [0.7519, 0.2481, 0.8113], [0.7519, 0.7519, 0.8113], [0.5000, 0.0000, 0.0000], [0.0000, 0.5000, 0.0000], [0.2481, 0.2481, 0.8113], [0.7519, 0.2481, 0.1887], [0.7519, 0.7519, 0.1887], [0.2481, 0.2481, 0.1887]]}

***

[25]
{"formula": "LiTbEr2In4", "functional": "PBE-GGA", "state": "relaxed", "space_group": "No. 166", "n_ef_per_ev_cell": 3.94, "lattice": [[5.1840, 0.0000, 0.0000], [2.5920, 4.4895, 0.0000], [2.5920, 1.4965, 8.6490]], "species": ["In", "In", "In", "In", "Er", "Tb", "Er", "Li"], "fractional_positions": [[0.1270, 0.1270, 0.6189], [0.6223, 0.6223, 0.1332], [0.8730, 0.8730, 0.3811], [0.3777, 0.3777, 0.8668], [0.7533, 0.7533, 0.7401], [0.0000, 0.0000, 0.0000], [0.2467, 0.2467, 0.2599], [0.5000, 0.5000, 0.5000]]}

***

The records above give, respectively, E_tot values of -6.92; -4.31; -5.49; -10.30; -7.38; -5.62; -6.41; -5.28; -6.22; -3.13; -7.84; -4.36; -2.97; -3.61; -2.09; -4.17; -5.14; -8.00; -6.23; -5.24; -7.63; -5.49; -7.94; -7.08; -3.74 eV per atom.